(1)
Computed, not measured: a relaxed structure of Al2AgPdW at the PBEsol level of DFT.

Cell lengths 4.5307, 4.5307, 4.8603 Å; angles 90.00, 90.00, 90.00 degrees
Closest atoms and distances in Å follow each position.
Positions (direct):
Al 0.0000 0.5000 0.0000  2 Pd 2.27
Al 0.5000 0.0000 0.0000  2 Pd 2.27
Ag 0.0000 0.0000 0.5000  4 W 3.20, 8 Al 3.32
Pd 0.5000 0.5000 0.0000  4 Al 2.27, 2 W 2.43
W 0.5000 0.5000 0.5000  2 Pd 2.43

The calculation puts the total energy at -5.29 eV per atom.

***

(2)
Computed, not measured: a relaxed structure of PmAlAg2 at the PBEsol level of DFT.

Cell lengths 4.8371, 4.8371, 4.8371 Å; angles 60.00, 60.00, 60.00 degrees
Closest atoms and distances in Å follow each position.
Positions (direct):
Pm 0.0000 0.0000 0.0000  8 Ag 2.96
Al 0.5000 0.5000 0.5000  8 Ag 2.96
Ag 0.2500 0.2500 0.2500  4 Al 2.96, 4 Pm 2.96
Ag 0.7500 0.7500 0.7500  4 Pm 2.96, 4 Al 2.96

The calculation puts the total energy at -4.29 eV per atom.

***

(3)
Computed, not measured: a relaxed structure of PrAl2Ag at the PBEsol level of DFT.

Cell lengths 9.4168, 9.4168, 9.4168 Å; angles 34.80, 34.80, 34.80 degrees
Closest atoms and distances in Å follow each position.
Positions (direct):
Pr 0.0000 0.0000 0.0000  6 Ag 3.25, 12 Al 3.57
Pr 0.1417 0.1417 0.1417  9 Al 3.22-3.31, 3 Ag 3.32, 3 Pr 3.51
Pr 0.8583 0.8583 0.8583  9 Al 3.22-3.31, 3 Ag 3.32, 3 Pr 3.51
Al 0.0772 0.5851 0.5851  3 Ag 2.70-2.78, 4 Al 2.77-2.86
Al 0.4149 0.4149 0.9228  3 Ag 2.70-2.78, 4 Al 2.77-2.86
Al 0.4149 0.9228 0.4149  3 Ag 2.70-2.78, 4 Al 2.77-2.86
Al 0.5851 0.0772 0.5851  3 Ag 2.70-2.78, 4 Al 2.77-2.86
Al 0.5851 0.5851 0.0772  3 Ag 2.70-2.78, 4 Al 2.77-2.86
Al 0.9228 0.4149 0.4149  3 Ag 2.70-2.78, 4 Al 2.77-2.86
Ag 0.3354 0.3354 0.3354  6 Al 2.70-2.75
Ag 0.5000 0.5000 0.5000  6 Al 2.78
Ag 0.6646 0.6646 0.6646  6 Al 2.70-2.75

The calculation puts the total energy at -4.61 eV per atom.

***

(4)
Computed, not measured: a relaxed structure of Al2AgPt at the PBEsol level of DFT.

Cell lengths 4.4325, 4.4325, 4.4325 Å; angles 60.00, 60.00, 60.00 degrees
Closest atoms and distances in Å follow each position.
Positions (direct):
Al 0.0000 0.0000 0.0000  4 Al 2.71, 4 Ag 2.71
Al 0.2500 0.2500 0.2500  4 Al 2.71, 4 Pt 2.71
Ag 0.7500 0.7500 0.7500  4 Al 2.71, 4 Pt 2.71
Pt 0.5000 0.5000 0.5000  4 Al 2.71, 4 Ag 2.71

As for the energy relative to the lowest polymorph listed for this composition: 248 meV per atom.

***

(5)
Computed, not measured: a relaxed structure of Al3AgPt at the PBEsol level of DFT.

Cell lengths 4.7169, 4.7169, 4.7169 Å; angles 90.00, 90.00, 90.00 degrees
Closest atoms and distances in Å follow each position.
Positions (direct):
Al 0.0000 0.0000 0.5000  2 Pt 2.36
Al 0.0000 0.5000 0.0000  2 Pt 2.36
Al 0.5000 0.0000 0.0000  2 Pt 2.36
Ag 0.5000 0.5000 0.5000  12 Al 3.34
Pt 0.0000 0.0000 0.0000  6 Al 2.36

The calculation puts the total energy at -4.56 eV per atom.

***

(6)
Computed, not measured: a relaxed structure of Al2AgPt at the PBEsol level of DFT.

Cell lengths 2.8755, 4.6976, 4.4938 Å; angles 90.00, 90.00, 90.00 degrees
Closest atoms and distances in Å follow each position.
Positions (direct):
Al 0.0000 0.0000 0.0000  2 Pt 2.63, 4 Ag 2.66-2.68, 6 Al 2.88-2.93
Al 0.5000 0.5000 0.2244  4 Pt 2.61-2.72, 2 Ag 2.65, 2 Al 2.88
Ag 0.5000 0.0000 0.4975  6 Al 2.65-2.68, 2 Ag 2.88, 4 Pt 2.96
Pt 0.0000 0.5000 0.7392  6 Al 2.61-2.72, 2 Pt 2.88

As for the energy relative to the lowest polymorph listed for this composition: 0 meV per atom.

***

(7)
Computed, not measured: a relaxed structure of AlAg4Pt at the PBEsol level of DFT.

Cell lengths 5.2463, 5.2463, 5.2463 Å; angles 60.00, 60.00, 60.00 degrees
Closest atoms and distances in Å follow each position.
Positions (direct):
Al 0.0000 0.0000 0.0000  12 Ag 3.08, 4 Pt 3.21
Ag 0.1251 0.6250 0.6250  6 Ag 2.62
Ag 0.6250 0.1251 0.6250  6 Ag 2.62
Ag 0.6250 0.6250 0.1251  6 Ag 2.62
Ag 0.6250 0.6250 0.6250  6 Ag 2.62
Pt 0.2500 0.2500 0.2500  12 Ag 3.08, 4 Al 3.21

The calculation puts the total energy at -3.82 eV per atom.

***

(8)
Computed, not measured: a relaxed structure of Rb2Al2Ag at the PBEsol level of DFT.

Cell lengths 10.8056, 10.8056, 3.0337 Å; angles 90.00, 90.00, 90.00 degrees
Closest atoms and distances in Å follow each position.
Positions (direct):
Rb 0.2057 0.2943 0.0000  2 Rb 3.03
Rb 0.2943 0.7943 0.0000  2 Rb 3.03
Rb 0.7057 0.2057 0.0000  2 Rb 3.03
Rb 0.7943 0.7057 0.0000  2 Rb 3.03
Al 0.0832 0.5832 0.5000  1 Al 2.54
Al 0.4168 0.0832 0.5000  1 Al 2.54
Al 0.5832 0.9168 0.5000  1 Al 2.54
Al 0.9168 0.4168 0.5000  1 Al 2.54
Ag 0.0000 0.0000 0.0000  2 Ag 3.03
Ag 0.5000 0.5000 0.0000  2 Ag 3.03

The calculation puts the total energy at -2.08 eV per atom.

***

(9)
Computed, not measured: a relaxed structure of RbAl2AgSb at the PBEsol level of DFT.

Cell lengths 5.0117, 5.0117, 5.6402 Å; angles 90.00, 90.00, 90.00 degrees
Closest atoms and distances in Å follow each position.
Positions (direct):
Rb 0.0000 0.0000 0.0000  4 Sb 3.54, 8 Al 3.77
Al 0.0000 0.5000 0.5000  2 Ag 2.51
Al 0.5000 0.0000 0.5000  2 Ag 2.51
Ag 0.5000 0.5000 0.5000  4 Al 2.51
Sb 0.5000 0.5000 0.0000  2 Ag 2.82

The calculation puts the energy relative to the elements, uncorrected at 335.5 meV per atom.

***

(10)
Computed, not measured: a relaxed structure of AlRe2Ag at the PBEsol level of DFT.

Cell lengths 2.6800, 4.4442, 5.1392 Å; angles 90.00, 102.06, 90.00 degrees
Closest atoms and distances in Å follow each position.
Positions (direct):
Al 0.0000 0.0000 0.0000  2 Ag 2.64, 2 Al 2.68, 4 Re 2.69
Re 0.2539 0.5000 0.7619  4 Re 2.53-2.75, 2 Al 2.69, 2 Ag 2.75
Re 0.7461 0.5000 0.2381  4 Re 2.53-2.75, 2 Al 2.69, 2 Ag 2.75
Ag 0.5000 0.0000 0.5000  2 Al 2.64, 2 Ag 2.68, 4 Re 2.75

The calculation puts the total energy at -8.17 eV per atom.

***

(11)
Computed, not measured: a relaxed structure of Al2ReAg at the PBEsol level of DFT.

Cell lengths 8.8520, 8.8520, 8.8520 Å; angles 18.44, 18.44, 18.44 degrees
Closest atoms and distances in Å follow each position.
Positions (direct):
Al 0.2463 0.2463 0.2463  3 Re 2.65, 3 Ag 2.80, 6 Al 2.84
Al 0.7537 0.7537 0.7537  3 Re 2.65, 3 Ag 2.80, 6 Al 2.84
Re 0.5000 0.5000 0.5000  6 Al 2.65, 6 Re 2.84
Ag 0.0000 0.0000 0.0000  6 Al 2.80, 6 Ag 2.84

As for the energy relative to the lowest polymorph listed for this composition: 0 meV per atom.

***

(12)
Computed, not measured: a relaxed structure of AlRe2Ag at the PBEsol level of DFT.

Cell lengths 9.0645, 9.0645, 9.0645 Å; angles 17.72, 17.72, 17.72 degrees
Closest atoms and distances in Å follow each position.
Positions (direct):
Al 0.0000 0.0000 0.0000  3 Re 2.69, 3 Ag 2.77, 6 Al 2.79
Re 0.2529 0.2529 0.2529  9 Re 2.62-2.79, 3 Al 2.69
Re 0.5090 0.5090 0.5090  9 Re 2.62-2.79, 3 Ag 2.93
Ag 0.7508 0.7508 0.7508  3 Al 2.77, 6 Ag 2.79, 3 Re 2.93

The calculation puts the total energy at -8.49 eV per atom.

***

no.,total magnetic moment (μB per cell)
1,0.00
2,0.00
3,0.00
4,0.00
5,0.00
6,0.00
7,0.00
8,0.00
9,0.00
10,0.00
11,0.00
12,0.00